CsSn2Sb2 after structural relaxation, computed with PBE-GGA.

The space group is P4/mbm (No. 127) and the conventional cell measures 9.365, 9.365 and 3.945 Å, with angles of 90.00, 90.00 and 90.00 degrees. The distinct sites, in fractional coordinates, are Cs at (0.000, 0.000, 0.000), Sn at (0.121, 0.379, 0.000) and Sb at (0.145, 0.645, 0.500).

Its total energy is -3.51 eV per atom. As for the energy above the most stable polymorph in this dataset: 0.113 eV per atom. The calculation puts the uncorrected formation energy at -0.4 eV per formula unit. The calculation puts the volume at 34.6 Å³ per atom. Its total moment is 0.0 μB/cell.



ScTlAs2 after structural relaxation, computed with PBE-GGA.

The space group is Amm2 (No. 38) and the conventional cell measures 3.719, 3.576 and 14.650 Å, with angles of 90.00, 90.00 and 90.00 degrees. The distinct sites, in fractional coordinates, are Sc at (0.000, 0.000, 0.000), Tl at (0.000, 0.000, 0.241), As at (0.500, 0.000, 0.420) and As at (0.500, 0.000, 0.592).

Its total energy is -5.01 eV per atom. As for the energy above the most stable polymorph in this dataset: 0.013 eV per atom. As for the formation energy: -0.512 eV/atom. The calculation puts the volume at 24.4 Å³ per atom. Its total moment is 0.0 μB/cell.



HgAsOs after structural relaxation, computed with PBE-GGA.

The space group is F-43m (No. 216) and the conventional cell measures 6.226, 6.226 and 6.226 Å, with angles of 90.00, 90.00 and 90.00 degrees. The distinct sites, in fractional coordinates, are Hg at (0.000, 0.000, 0.000), As at (0.000, 0.000, 0.500) and Os at (0.250, 0.250, 0.250).

Its total energy is -4.68 eV per atom. As for the energy above the most stable polymorph in this dataset: 0.392 eV per atom. As for the formation energy: 0.709 eV/atom. The calculation puts the volume at 20.1 Å³ per atom. Its total moment is 0.0 μB/cell.



LiHo5Te6 after structural relaxation, computed with PBE-GGA.

The space group is C2/m (No. 12) and the conventional cell measures 7.469, 12.933 and 7.492 Å, with angles of 90.00, 109.47 and 90.00 degrees. The distinct sites, in fractional coordinates, are Li at (0.000, 0.000, 0.000), Ho at (0.000, 0.170, 0.500), Ho at (0.000, 0.336, 0.000), Ho at (0.000, 0.500, 0.500), Te at (0.240, 0.000, 0.755) and Te at (0.242, 0.162, 0.243).

Its total energy is -4.92 eV per atom. The calculation puts the uncorrected formation energy at -15.4 eV per formula unit. The calculation puts the volume at 28.4 Å³ per atom. Its total moment is 0.0 μB/cell.